*A*
# TbPm2Eu

TbPm2Eu after structural relaxation (PBE, Alexandria).

a = 5.832 Å, b = 5.832 Å, c = 5.832 Å
α = 60.00°, β = 60.00°, γ = 60.00°
Fractional coordinates of all 4 atoms:
Tb 0.000 0.000 0.000
Pm 0.250 0.250 0.250
Pm 0.750 0.750 0.750
Eu 0.500 0.500 0.500

Computed properties:
As for the density of states at the Fermi level: 6.59 states/eV/f.u. As for the symmetry: Fm-3m (225).


*B*
# TbPm2Eu

TbPm2Eu after structural relaxation (PBE, Alexandria).

a = 3.670 Å, b = 3.670 Å, c = 10.447 Å
α = 90.00°, β = 90.00°, γ = 90.00°
Fractional coordinates of all 4 atoms:
Tb 0.000 0.000 0.000
Pm 0.500 0.500 0.235
Pm 0.500 0.500 0.765
Eu 0.000 0.000 0.500

Computed properties:
As for the density of states at the Fermi level: 5.01 states/eV/f.u. As for the symmetry: P4/mmm (123).


*C*
# TbPm2Eu

TbPm2Eu after structural relaxation (PBE, Alexandria).

a = 5.186 Å, b = 5.186 Å, c = 5.169 Å
α = 90.00°, β = 90.00°, γ = 90.00°
Fractional coordinates of all 4 atoms:
Tb 0.000 0.000 0.000
Pm 0.000 0.500 0.500
Pm 0.500 0.000 0.500
Eu 0.500 0.500 0.000

Computed properties:
As for the density of states at the Fermi level: 5.90 states/eV/f.u. As for the symmetry: P4/mmm (123).


Which structure is most stable? *B*, by 34 meV/atom over the runner-up.


*A*
# PmEuTh2

PmEuTh2 after structural relaxation (PBE, Alexandria).

a = 12.943 Å, b = 12.943 Å, c = 12.943 Å
α = 15.71°, β = 15.71°, γ = 15.71°
Fractional coordinates of all 4 atoms:
Pm 0.000 0.000 0.000
Eu 0.500 0.500 0.500
Th 0.411 0.411 0.411
Th 0.589 0.589 0.589

Computed properties:
As for the density of states at the Fermi level: 6.49 states/eV/f.u. As for the symmetry: R-3m (166).


*B*
# PmEuTh2

PmEuTh2 after structural relaxation (PBE, Alexandria).

a = 5.064 Å, b = 5.064 Å, c = 5.242 Å
α = 90.00°, β = 90.00°, γ = 90.00°
Fractional coordinates of all 4 atoms:
Pm 0.000 0.000 0.000
Eu 0.500 0.500 0.000
Th 0.000 0.500 0.500
Th 0.500 0.000 0.500

Computed properties:
As for the density of states at the Fermi level: 5.65 states/eV/f.u. As for the symmetry: P4/mmm (123).


Which structure is most stable? *B*, by 80 meV/atom over the runner-up.


*A*
# PmEuTl

PmEuTl after structural relaxation (PBE, Alexandria).

a = 5.429 Å, b = 5.429 Å, c = 3.792 Å
α = 90.00°, β = 90.00°, γ = 120.00°
Fractional coordinates of all 3 atoms:
Pm 0.000 0.000 0.000
Eu 0.667 0.333 0.427
Tl 0.333 0.667 0.784

Computed properties:
As for the density of states at the Fermi level: 2.43 states/eV/f.u. As for the symmetry: P3m1 (156).


*B*
# PmEuTl

PmEuTl after structural relaxation (PBE, Alexandria).

a = 5.403 Å, b = 5.403 Å, c = 5.403 Å
α = 60.00°, β = 60.00°, γ = 60.00°
Fractional coordinates of all 3 atoms:
Pm 0.000 0.000 0.000
Eu 0.500 0.500 0.500
Tl 0.750 0.750 0.750

Computed properties:
As for the density of states at the Fermi level: 9.02 states/eV/f.u. As for the symmetry: F-43m (216).


*C*
# PmEuTl

PmEuTl after structural relaxation (PBE, Alexandria).

a = 7.188 Å, b = 7.188 Å, c = 7.188 Å
α = 148.81°, β = 148.81°, γ = 44.69°
Fractional coordinates of all 3 atoms:
Pm 0.000 0.000 0.000
Eu 0.300 0.300 0.000
Tl 0.644 0.644 0.000

Computed properties:
As for the density of states at the Fermi level: 3.47 states/eV/f.u. As for the symmetry: I4mm (107).


Which structure is most stable? *C*, by 42 meV/atom over the runner-up.


*A*
# PmEu2Tm

PmEu2Tm after structural relaxation (PBE, Alexandria).

a = 5.869 Å, b = 5.869 Å, c = 5.869 Å
α = 60.00°, β = 60.00°, γ = 60.00°
Fractional coordinates of all 4 atoms:
Pm 0.000 0.000 0.000
Eu 0.250 0.250 0.250
Eu 0.750 0.750 0.750
Tm 0.500 0.500 0.500

Computed properties:
As for the density of states at the Fermi level: 4.99 states/eV/f.u. As for the symmetry: Fm-3m (225).


*B*
# PmEu2Tm

PmEu2Tm after structural relaxation (PBE, Alexandria).

a = 13.106 Å, b = 13.106 Å, c = 13.106 Å
α = 15.71°, β = 15.71°, γ = 15.71°
Fractional coordinates of all 4 atoms:
Pm 0.000 0.000 0.000
Eu 0.414 0.414 0.414
Eu 0.586 0.586 0.586
Tm 0.500 0.500 0.500

Computed properties:
As for the density of states at the Fermi level: 5.63 states/eV/f.u. As for the symmetry: R-3m (166).


*C*
# PmEu2Tm

PmEu2Tm after structural relaxation (PBE, Alexandria).

a = 5.921 Å, b = 5.921 Å, c = 4.075 Å
α = 90.00°, β = 90.00°, γ = 90.00°
Fractional coordinates of all 4 atoms:
Pm 0.000 0.000 0.000
Eu 0.000 0.500 0.500
Eu 0.500 0.000 0.500
Tm 0.500 0.500 0.000

Computed properties:
As for the density of states at the Fermi level: 5.86 states/eV/f.u. As for the symmetry: P4/mmm (123).


Which structure is most stable? *A*, by 6 meV/atom over the runner-up.